VASP calculation (PBE) on PuAgSnRh after structural relaxation.

The structure in POSCAR format:
```
PuAgSnRh
1.0
0.0000 3.4480 3.4480
3.4480 0.0000 3.4480
3.4480 3.4480 0.0000
Pu Ag Sn Rh
1 1 1 1
Cartesian
0.0000 0.0000 0.0000
5.1720 5.1720 5.1720
3.4480 3.4480 3.4480
1.7240 1.7240 1.7240
```

Values from the calculation:
Fermi-level density of states (states/eV per atom): 2.802
Formation enthalpy at 0 K (kcal/mol of atoms): -4.9
M_tot (μB per atom): 1.26
Final energy (Ry per atom): -0.5401

***

VASP calculation (PBE) on BaGa6Au8 after structural relaxation.

The structure in POSCAR format:
```
BaGa6Au8
1.0
4.2761 2.4688 4.8119
-4.2761 2.4688 4.8119
0.0000 -4.9377 4.8119
Ba Ga Au
1 6 8
Cartesian
0.0000 0.0000 0.0000
-0.7533 -1.5340 5.3439
-0.9519 1.4194 5.3439
-1.7052 -0.1147 9.0918
1.7052 0.1146 5.3439
0.9519 -1.4194 9.0918
0.7533 1.5340 9.0918
-2.8275 0.0046 6.6764
-1.4177 -2.4464 7.7593
0.0000 0.0000 3.2628
1.4098 -2.4510 6.6764
-1.4098 2.4510 7.7593
0.0000 0.0000 11.1729
1.4177 2.4464 6.6764
2.8275 -0.0046 7.7593
```

Values from the calculation:
Fermi-level density of states (states/eV per atom): 0.462
Formation enthalpy at 0 K (kcal/mol of atoms): -5.9
M_tot (μB per atom): 0.00
Final energy (Ry per atom): -0.2457

***

VASP calculation (PBE) on TaSe2BrN after structural relaxation.

The structure in POSCAR format:
```
TaSe2BrN
1.0
5.2071 0.0000 0.0000
0.0000 5.2071 0.0000
0.0000 0.0000 3.5947
Ta Se Br N
1 2 1 1
Cartesian
0.0000 0.0000 0.0000
0.0000 2.6035 1.7973
2.6035 0.0000 1.7973
2.6035 2.6035 1.7973
2.6035 2.6035 0.0000
```

Values from the calculation:
Fermi-level density of states (states/eV per atom): 0.855
ΔE_f (raw) (meV/atom): 1691.2
M_tot (μB per atom): 0.31
Final energy (Ry per atom): -0.2993
Excess energy over the best structure of this formula in the dataset (meV/atom): 1544

***

VASP calculation (PBE) on Pu2InCo after structural relaxation.

The structure in POSCAR format:
```
Pu2InCo
1.0
1.7523 1.0117 9.9391
-1.7523 1.0117 9.9391
0.0000 -2.0234 9.9391
Pu In Co
2 1 1
Cartesian
0.0000 0.0000 3.2864
0.0000 0.0000 26.5309
0.0000 0.0000 0.0000
0.0000 0.0000 14.9087
```

Values from the calculation:
Fermi-level density of states (states/eV per atom): 3.704
Formation enthalpy at 0 K (kcal/mol of atoms): 5.9
M_tot (μB per atom): 2.67
Final energy (Ry per atom): -0.6887
Excess energy over the best structure of this formula in the dataset (meV/atom): 333

***

VASP calculation (PBE) on YPa2S3 after structural relaxation.

The structure in POSCAR format:
```
YPa2S3
1.0
-1.9493 1.9493 8.2758
1.9493 -1.9493 8.2758
1.9493 1.9493 -8.2758
Y Pa S
1 2 3
Cartesian
0.0000 0.0000 0.0000
0.0000 0.0000 5.4870
0.0000 0.0000 11.0646
0.0000 0.0000 2.7189
0.0000 0.0000 8.2758
0.0000 0.0000 13.8327
```

Values from the calculation:
Fermi-level density of states (states/eV per atom): 1.332
ΔE_f (raw) (meV/atom): -1734.8
M_tot (μB per atom): 0.00
Final energy (Ry per atom): -0.5910

***

VASP calculation (PBE) on LiLaHoCr after structural relaxation.

The structure in POSCAR format:
```
LiLaHoCr
1.0
0.0000 3.6790 3.6790
3.6790 0.0000 3.6790
3.6790 3.6790 0.0000
Li La Ho Cr
1 1 1 1
Cartesian
0.0000 0.0000 0.0000
5.5185 5.5185 5.5185
1.8395 1.8395 1.8395
3.6790 3.6790 3.6790
```

Values from the calculation:
Fermi-level density of states (states/eV per atom): 1.028
Formation enthalpy at 0 K (kcal/mol of atoms): 4.9
M_tot (μB per atom): 0.76
Final energy (Ry per atom): -0.3711

***

VASP calculation (PBE) on PaTl2ReO8 after structural relaxation.

The structure in POSCAR format:
```
PaTl2ReO8
1.0
5.2717 0.0000 0.0000
0.0000 6.6463 0.0000
-0.0773 0.0000 5.2745
Pa Tl Re O
1 2 1 8
Cartesian
0.0000 0.0000 0.0000
2.5972 1.7493 2.6373
2.5972 4.8970 2.6373
0.0000 3.3232 0.0000
0.8066 1.8450 4.3274
0.8066 4.8013 4.3274
1.3603 3.3232 1.2571
1.4926 0.0000 1.4587
3.7018 0.0000 3.8158
3.8341 3.3232 4.0174
4.3878 1.8450 0.9471
4.3878 4.8013 0.9471
```

Values from the calculation:
Fermi-level density of states (states/eV per atom): 0.234
ΔE_f (raw) (meV/atom): -1723.7
M_tot (μB per atom): 0.00
Final energy (Ry per atom): -0.5330

***

VASP calculation (PBE) on Na4Np3RuSe8 after structural relaxation.

The structure in POSCAR format:
```
Na4Np3RuSe8
1.0
3.9896 2.3034 7.1344
-3.9896 2.3034 7.1344
0.0000 -4.6067 7.1344
Na Np Ru Se
4 3 1 8
Cartesian
0.0000 0.0000 0.0000
-1.9948 -1.1517 7.1344
-1.9948 1.1517 14.2689
0.0000 2.3034 7.1344
-3.9895 0.0000 10.7017
-1.9948 1.1517 3.5672
1.9948 1.1517 3.5672
0.0000 0.0000 10.7017
0.0000 0.0000 5.2578
-1.8532 -1.0699 12.2873
0.0000 -2.1399 9.1161
-1.8532 1.0699 9.1161
1.8532 -1.0699 12.2873
0.0000 2.1399 12.2873
1.8532 1.0699 9.1160
0.0000 0.0000 16.1455
```

Values from the calculation:
Fermi-level density of states (states/eV per atom): 1.686
ΔE_f (raw) (meV/atom): -1006.8
M_tot (μB per atom): 0.69
Final energy (Ry per atom): -0.4472